A plane-wave DFT calculation with PBE with a Hubbard U was carried out for a geometry-optimized GaReMo2F structure.

Computed properties:
Raw total energy = -27.3 eV per cell
Size of the total moment = 3.142 μB/f.u.

Unit cell a=4.2016 b=4.2016 c=4.5396 alpha=90.00 beta=90.00 gamma=90.00
With the nearest neighbours (Å) after each atom.
Positions (direct):
Ga 0.0000 0.0000 0.0000  2 F 2.27
Re 0.5000 0.5000 0.0000  4 Ga 2.97, 8 Mo 3.09
Mo 0.0000 0.5000 0.5000  2 F 2.10
Mo 0.5000 0.0000 0.5000  2 F 2.10
F 0.0000 0.0000 0.5000  4 Mo 2.10, 2 Ga 2.27